# 1
Density functional theory data (SCAN) for LiFe2Ru at its PBEsol-relaxed geometry.

Cell and atoms, written as POSCAR:
```
LiFe2Ru
1.0
2.5342 0.0000 0.0000
0.0000 3.5972 0.0000
0.0000 0.0000 5.0830
Li Ru Fe
1 1 2
direct
0.0000 0.0000 0.4900
0.5000 0.5000 0.7643
0.5000 0.5000 0.2530
0.0000 0.0000 0.9927
```

Output
Space group: Pmm2 (25)
Mass density, g/cm3: 7.873
DFT formation energy, eV/atom: 0.25

# 2
Density functional theory data (SCAN) for RbVPO5 at its PBEsol-relaxed geometry.

Cell and atoms, written as POSCAR:
```
RbVPO5
1.0
7.5817 0.0000 0.0000
0.0000 7.9022 0.0000
0.0000 0.0000 8.3510
P V O Rb
4 4 20 4
direct
0.3767 0.8204 0.0983
0.6233 0.3204 0.4017
0.8767 0.6796 0.9017
0.1233 0.1796 0.5983
0.1123 0.0382 0.8803
0.3877 0.9618 0.3803
0.6123 0.4618 0.1197
0.8877 0.5382 0.6197
0.4771 0.4308 0.3208
0.0682 0.1701 0.0207
0.9771 0.0692 0.6792
0.5592 0.1403 0.4362
0.8126 0.6039 0.0620
0.7317 0.6697 0.7695
0.3126 0.8961 0.9380
0.9318 0.6701 0.4793
0.4408 0.6403 0.0638
0.5682 0.3299 0.9793
0.6874 0.3961 0.5620
0.0229 0.5692 0.8208
0.7683 0.3303 0.2695
0.1874 0.1039 0.4380
0.4318 0.8299 0.5207
0.0592 0.3597 0.5638
0.2317 0.8303 0.2305
0.2683 0.1697 0.7305
0.9408 0.8597 0.9362
0.5229 0.9308 0.1792
0.3813 0.5453 0.7298
0.6187 0.0453 0.7702
0.8813 0.9547 0.2702
0.1187 0.4547 0.2298
```

Output
Space group: P2_12_12_1 (19)
Mass density, g/cm3: 3.284
Energy relative to the elements, uncorrected, eV per atom: -2.5981

# 3
Density functional theory data (SCAN) for AlHgRuCl2 at its PBEsol-relaxed geometry.

Cell and atoms, written as POSCAR:
```
AlHgRuCl2
1.0
4.4365 0.0000 0.0000
0.0000 4.4365 0.0000
0.0000 0.0000 5.7334
Cl Al Hg Ru
2 1 1 1
direct
0.0000 0.5000 0.0000
0.5000 0.0000 0.0000
0.0000 0.0000 0.0000
0.0000 0.0000 0.5000
0.5000 0.5000 0.5000
```

Output
Space group: P4/mmm (123)
Mass density, g/cm3: 5.879
Energy relative to the elements, uncorrected, eV per atom: 0.4440